1.
A plane-wave DFT calculation with PBE was carried out for a relaxed CrRe3Os crystal.

Properties
As for the magnetic moment: 0.0 μB/f.u. As for the symmetry: No. 221. Its total energy is -49.4 eV per formula unit. Its density of states at the Fermi level is 5.62 states/eV/f.u. Its energy above the most stable polymorph in this dataset is 0.0 meV per atom. The crystal system is cubic.

Cell lengths 4.3678, 4.3678, 4.3678 Å; angles 90.00, 90.00, 90.00 degrees
With the nearest neighbours (Å) after each atom.
Sites, in units of the cell vectors:
Cr: 0.0000 0.0000 0.0000  6 Re 2.18
Re: 0.0000 0.0000 0.5000  2 Cr 2.18
Re: 0.0000 0.5000 0.0000  2 Cr 2.18
Re: 0.5000 0.0000 0.0000  2 Cr 2.18
Os: 0.5000 0.5000 0.5000  12 Re 3.09

=====

2.
A plane-wave DFT calculation with PBE was carried out for a relaxed SiBiO2 crystal.

Properties
As for the magnetic moment: 0.0 μB/f.u. As for the symmetry: No. 227. Its total energy is -25.2 eV per formula unit. The uncorrected formation energy is -1.50 eV per atom. Its density of states at the Fermi level is 0.43 states/eV/f.u. Its energy above the most stable polymorph in this dataset is 0.0 meV per atom. The crystal system is cubic.

Cell lengths 5.4724, 5.4724, 5.4724 Å; angles 60.00, 60.00, 60.00 degrees
With the nearest neighbours (Å) after each atom.
Sites, in units of the cell vectors:
Si: 0.1250 0.1250 0.1250  4 O 1.68
Si: 0.8750 0.8750 0.8750  4 O 1.68
Bi: 0.3750 0.3750 0.3750  12 O 3.21, 4 Bi 3.35, 4 Si 3.35
Bi: 0.6250 0.6250 0.6250  12 O 3.21, 4 Si 3.35, 4 Bi 3.35
O: 0.0000 0.0000 0.0000  2 Si 1.68
O: 0.0000 0.0000 0.5000  2 Si 1.68
O: 0.0000 0.5000 0.0000  2 Si 1.68
O: 0.5000 0.0000 0.0000  2 Si 1.68